## CsCaI3 (PBE)

Data for crystalline CsCaI3 at its relaxed geometry.

```
CsCaI3
1.0
-4.995 5.546 -2.181
-11.665 -7.800 6.880
1.683 4.762 8.253
Cs I Ca
4 12 4
Cartesian
0.842 2.381 4.127
-8.330 -1.127 2.349
-2.497 2.773 -1.091
-4.991 -1.519 7.567
-9.226 -2.467 13.177
-6.129 1.153 4.783
-2.848 3.347 2.849
-9.031 2.782 1.710
-5.750 4.976 -0.225
-8.848 1.355 8.168
-12.128 -0.839 10.103
-5.946 -0.274 11.242
-3.477 5.251 8.933
-8.188 -3.211 9.104
-11.500 -2.742 4.019
-6.789 5.719 3.848
-5.946 3.102 2.310
-11.513 2.222 9.625
-9.030 -0.593 10.642
-3.464 0.286 3.327
```

## Properties
* ΔE_f (raw): -1.589 eV/atom
* uncorrected energy: -3.09 eV/atom